*i*
Compound: MgTi3Zn
Source: Alexandria via LeMat-Bulk
Functional: PBE
Structure: relaxed

Values from the calculation:
Its spin magnetization is 0.00 μB per cell.

a b c (Å): 4.747 4.747 4.747
angles (deg): 90.00 90.00 90.00
Atoms (fractional coordinates):
1 Zn 0.500 0.500 0.500
2 Mg 0.000 0.000 0.000
3 Ti 0.000 0.500 0.000
4 Ti 0.000 0.000 0.500
5 Ti 0.500 0.000 0.000

---

*ii*
Compound: MgTi3Zn
Source: Alexandria via LeMat-Bulk
Functional: PBE
Structure: relaxed

Values from the calculation:
Its spin magnetization is 0.00 μB per cell.

a b c (Å): 4.741 4.741 4.741
angles (deg): 90.00 90.00 90.00
Atoms (fractional coordinates):
1 Zn 0.000 0.000 0.000
2 Mg 0.500 0.500 0.500
3 Ti 0.000 0.500 0.000
4 Ti 0.000 0.000 0.500
5 Ti 0.500 0.000 0.000

---

Which of them is the least stable? Correct choice: *i*.

---

*i*
Compound: Mg6TiZn
Source: Alexandria via LeMat-Bulk
Functional: PBE
Structure: relaxed

Values from the calculation:
Its spin magnetization is 0.93 μB per cell.

a b c (Å): 6.278 6.278 4.877
angles (deg): 90.00 90.00 120.69
Atoms (fractional coordinates):
1 Mg 0.658 0.828 0.000
2 Mg 0.172 0.342 0.000
3 Mg 0.669 0.331 0.000
4 Mg 0.838 0.675 0.500
5 Mg 0.325 0.162 0.500
6 Mg 0.833 0.167 0.500
7 Ti 0.324 0.676 0.500
8 Zn 0.183 0.817 0.000

---

*ii*
Compound: Mg6TiZn
Source: Alexandria via LeMat-Bulk
Functional: PBE
Structure: relaxed

Values from the calculation:
Its spin magnetization is 1.12 μB per cell.

a b c (Å): 6.292 6.292 4.898
angles (deg): 90.00 90.00 122.07
Atoms (fractional coordinates):
1 Mg 0.829 0.673 0.500
2 Mg 0.327 0.171 0.500
3 Mg 0.662 0.830 0.000
4 Mg 0.170 0.338 0.000
5 Mg 0.678 0.322 0.000
6 Mg 0.171 0.829 0.000
7 Ti 0.326 0.674 0.500
8 Zn 0.836 0.164 0.500

---

Which of them is the least stable? Correct choice: *ii*.

---

*i*
Compound: MgTiZn3
Source: Alexandria via LeMat-Bulk
Functional: PBE
Structure: relaxed

Values from the calculation:
Its spin magnetization is 0.00 μB per cell.

a b c (Å): 4.365 5.586 8.442
angles (deg): 123.60 104.98 90.00
Atoms (fractional coordinates):
1 Mg 0.393 0.710 0.786
2 Mg 0.607 0.290 0.214
3 Ti 0.205 0.765 0.410
4 Ti 0.795 0.235 0.590
5 Zn 0.003 0.274 0.006
6 Zn 0.997 0.726 0.994
7 Zn 0.599 0.773 0.198
8 Zn 0.401 0.227 0.802
9 Zn 0.810 0.773 0.620
10 Zn 0.190 0.227 0.380

---

*ii*
Compound: MgTiZn3
Source: Alexandria via LeMat-Bulk
Functional: PBE
Structure: relaxed

Values from the calculation:
Its spin magnetization is 1.95 μB per cell.

a b c (Å): 4.974 4.974 4.974
angles (deg): 90.00 90.00 90.00
Atoms (fractional coordinates):
1 Zn 0.000 0.500 0.000
2 Zn 0.000 0.000 0.500
3 Zn 0.500 0.000 0.000
4 Mg 0.500 0.500 0.500
5 Ti 0.000 0.000 0.000

---

Which of them is the least stable? Correct choice: *ii*.

---

*i*
Compound: MgTiZn4
Source: Alexandria via LeMat-Bulk
Functional: PBE
Structure: relaxed

Values from the calculation:
Its spin magnetization is 0.37 μB per cell.

a b c (Å): 5.128 5.128 5.128
angles (deg): 60.00 60.00 60.00
Atoms (fractional coordinates):
1 Zn 0.626 0.626 0.122
2 Zn 0.626 0.122 0.626
3 Zn 0.626 0.626 0.626
4 Zn 0.122 0.626 0.626
5 Mg 0.250 0.250 0.250
6 Ti 0.000 0.000 0.000

---

*ii*
Compound: MgTiZn4
Source: Alexandria via LeMat-Bulk
Functional: PBE
Structure: relaxed

Values from the calculation:
Its spin magnetization is 0.00 μB per cell.

a b c (Å): 2.913 4.324 7.620
angles (deg): 90.00 89.99 90.00
Atoms (fractional coordinates):
1 Mg 0.500 0.500 0.500
2 Ti 0.500 0.000 0.000
3 Zn 0.999 0.000 0.671
4 Zn 0.000 0.500 0.839
5 Zn 0.001 0.000 0.329
6 Zn 0.000 0.500 0.161

---

Which of them is the least stable? Correct choice: *i*.

---

*i*
Compound: MgZr3Ti
Source: Alexandria via LeMat-Bulk
Functional: PBE
Structure: relaxed

Values from the calculation:
Its spin magnetization is 0.00 μB per cell.

a b c (Å): 5.311 5.311 10.568
angles (deg): 75.45 75.45 60.00
Atoms (fractional coordinates):
1 Mg 0.333 0.333 0.001
2 Mg 0.667 0.667 0.999
3 Zr 0.092 0.435 0.731
4 Zr 0.743 0.092 0.731
5 Zr 0.565 0.257 0.270
6 Zr 0.257 0.908 0.270
7 Zr 0.908 0.565 0.270
8 Zr 0.435 0.743 0.731
9 Ti 0.165 0.165 0.506
10 Ti 0.835 0.835 0.494

---

*ii*
Compound: MgZr3Ti
Source: Alexandria via LeMat-Bulk
Functional: PBE
Structure: relaxed

Values from the calculation:
Its spin magnetization is 0.00 μB per cell.

a b c (Å): 4.996 4.996 4.996
angles (deg): 90.00 90.00 90.00
Atoms (fractional coordinates):
1 Mg 0.500 0.500 0.500
2 Zr 0.000 0.500 0.000
3 Zr 0.000 0.000 0.500
4 Zr 0.500 0.000 0.000
5 Ti 0.000 0.000 0.000

---

Which of them is the least stable? Correct choice: *ii*.

---

*i*
Compound: MgZr3Ti
Source: Alexandria via LeMat-Bulk
Functional: PBE
Structure: relaxed

Values from the calculation:
Its spin magnetization is 0.00 μB per cell.

a b c (Å): 5.031 5.031 5.031
angles (deg): 90.00 90.00 90.00
Atoms (fractional coordinates):
1 Mg 0.000 0.000 0.000
2 Zr 0.000 0.500 0.000
3 Zr 0.000 0.000 0.500
4 Zr 0.500 0.000 0.000
5 Ti 0.500 0.500 0.500

---

*ii*
Compound: MgZr3Ti
Source: Alexandria via LeMat-Bulk
Functional: PBE
Structure: relaxed

Values from the calculation:
Its spin magnetization is 0.00 μB per cell.

a b c (Å): 3.141 8.008 10.766
angles (deg): 111.28 98.38 113.10
Atoms (fractional coordinates):
1 Mg 0.838 0.320 0.037
2 Mg 0.162 0.680 0.963
3 Zr 0.181 0.091 0.182
4 Zr 0.819 0.909 0.818
5 Zr 0.818 0.505 0.627
6 Zr 0.182 0.495 0.373
7 Zr 0.142 0.265 0.754
8 Zr 0.858 0.735 0.246
9 Ti 0.175 0.892 0.566
10 Ti 0.825 0.108 0.434

---

Which of them is the least stable? Correct choice: *i*.

---

*i*
Compound: Mg2Zr2Ti
Source: Alexandria via LeMat-Bulk
Functional: PBE
Structure: relaxed

Values from the calculation:
Its spin magnetization is 0.00 μB per cell.

a b c (Å): 3.061 3.061 11.807
angles (deg): 97.45 97.45 90.00
Atoms (fractional coordinates):
1 Mg 0.802 0.802 0.604
2 Mg 0.198 0.198 0.396
3 Zr 0.590 0.590 0.180
4 Zr 0.410 0.410 0.820
5 Ti 0.000 0.000 0.000

---

*ii*
Compound: Mg2Zr2Ti
Source: Alexandria via LeMat-Bulk
Functional: PBE
Structure: relaxed

Values from the calculation:
Its spin magnetization is 2.34 μB per cell.

a b c (Å): 8.149 8.149 3.259
angles (deg): 90.00 90.00 90.00
Atoms (fractional coordinates):
1 Mg 0.375 0.875 0.000
2 Mg 0.875 0.625 0.000
3 Mg 0.625 0.125 0.000
4 Mg 0.125 0.375 0.000
5 Zr 0.174 0.674 0.500
6 Zr 0.674 0.826 0.500
7 Zr 0.826 0.326 0.500
8 Zr 0.326 0.174 0.500
9 Ti 0.000 0.000 0.000
10 Ti 0.500 0.500 0.000

---

Which of them is the least stable? Correct choice: *ii*.

---

*i*
Compound: MgZr2Ti2
Source: Alexandria via LeMat-Bulk
Functional: PBE
Structure: relaxed

Values from the calculation:
Its spin magnetization is 0.00 μB per cell.

a b c (Å): 7.764 7.764 3.506
angles (deg): 90.00 90.00 90.00
Atoms (fractional coordinates):
1 Mg 0.000 0.000 0.000
2 Mg 0.500 0.500 0.000
3 Zr 0.363 0.863 0.000
4 Zr 0.863 0.637 0.000
5 Zr 0.637 0.137 0.000
6 Zr 0.137 0.363 0.000
7 Ti 0.157 0.657 0.500
8 Ti 0.657 0.843 0.500
9 Ti 0.843 0.343 0.500
10 Ti 0.343 0.157 0.500

---

*ii*
Compound: MgZr2Ti2
Source: Alexandria via LeMat-Bulk
Functional: PBE
Structure: relaxed

Values from the calculation:
Its spin magnetization is 0.00 μB per cell.

a b c (Å): 7.507 7.507 3.688
angles (deg): 90.00 90.00 90.00
Atoms (fractional coordinates):
1 Mg 0.000 0.000 0.000
2 Mg 0.500 0.500 0.000
3 Zr 0.163 0.663 0.500
4 Zr 0.663 0.837 0.500
5 Zr 0.837 0.337 0.500
6 Zr 0.337 0.163 0.500
7 Ti 0.371 0.871 0.000
8 Ti 0.871 0.629 0.000
9 Ti 0.629 0.129 0.000
10 Ti 0.129 0.371 0.000

---

Which of them is the least stable? Correct choice: *i*.

---

*i*
Compound: MgTl2
Source: Alexandria via LeMat-Bulk
Functional: PBE
Structure: relaxed

Values from the calculation:
Its spin magnetization is 0.00 μB per cell.

a b c (Å): 6.452 6.452 10.098
angles (deg): 90.00 90.00 120.00
Atoms (fractional coordinates):
1 Tl 0.000 0.000 0.000
2 Tl 0.000 0.000 0.500
3 Tl 0.827 0.654 0.250
4 Tl 0.173 0.346 0.750
5 Tl 0.346 0.173 0.250
6 Tl 0.827 0.173 0.250
7 Tl 0.173 0.827 0.750
8 Tl 0.654 0.827 0.750
9 Mg 0.333 0.667 0.074
10 Mg 0.667 0.333 0.574
11 Mg 0.667 0.333 0.926
12 Mg 0.333 0.667 0.426

---

*ii*
Compound: MgTl2
Source: Alexandria via LeMat-Bulk
Functional: PBE
Structure: relaxed

Values from the calculation:
Its spin magnetization is 0.00 μB per cell.

a b c (Å): 9.757 9.757 9.757
angles (deg): 60.00 60.00 60.00
Atoms (fractional coordinates):
1 Mg 0.135 0.288 0.288
2 Mg 0.788 0.635 0.288
3 Mg 0.788 0.288 0.635
4 Mg 0.788 0.288 0.288
5 Mg 0.865 0.712 0.712
6 Mg 0.212 0.365 0.712
7 Mg 0.212 0.712 0.365
8 Mg 0.212 0.712 0.712
9 Tl 0.000 0.500 0.500
10 Tl 0.000 0.500 0.000
11 Tl 0.000 0.000 0.500
12 Tl 0.500 0.500 0.500
13 Tl 0.188 0.688 0.062
14 Tl 0.188 0.062 0.688
15 Tl 0.188 0.062 0.062
16 Tl 0.562 0.688 0.688
17 Tl 0.562 0.688 0.062
18 Tl 0.562 0.062 0.688
19 Tl 0.812 0.312 0.938
20 Tl 0.812 0.938 0.312
21 Tl 0.812 0.938 0.938
22 Tl 0.438 0.312 0.312
23 Tl 0.438 0.312 0.938
24 Tl 0.438 0.938 0.312

---

Which of them is the least stable? Correct choice: *i*.

---

*i*
Compound: MgTl2
Source: Alexandria via LeMat-Bulk
Functional: PBE
Structure: relaxed

Values from the calculation:
Its spin magnetization is 0.00 μB per cell.

a b c (Å): 4.851 6.544 10.251
angles (deg): 90.00 90.00 90.00
Atoms (fractional coordinates):
1 Mg 0.250 0.655 0.400
2 Mg 0.750 0.845 0.900
3 Mg 0.250 0.155 0.100
4 Mg 0.750 0.345 0.600
5 Tl 0.250 0.082 0.765
6 Tl 0.750 0.418 0.265
7 Tl 0.250 0.582 0.735
8 Tl 0.750 0.918 0.235
9 Tl 0.250 0.156 0.434
10 Tl 0.750 0.344 0.934
11 Tl 0.250 0.656 0.066
12 Tl 0.750 0.844 0.566

---

*ii*
Compound: MgTl2
Source: Alexandria via LeMat-Bulk
Functional: PBE
Structure: relaxed

Values from the calculation:
Its spin magnetization is 0.00 μB per cell.

a b c (Å): 3.452 8.576 5.670
angles (deg): 90.00 90.00 90.00
Atoms (fractional coordinates):
1 Mg 0.000 0.000 0.000
2 Mg 0.500 0.500 0.500
3 Tl 0.000 0.188 0.501
4 Tl 0.000 0.812 0.499
5 Tl 0.500 0.688 0.999
6 Tl 0.500 0.312 0.001

---

*iii*
Compound: MgTl2
Source: Alexandria via LeMat-Bulk
Functional: PBE
Structure: relaxed

Values from the calculation:
Its spin magnetization is 0.00 μB per cell.

a b c (Å): 6.238 6.238 7.971
angles (deg): 74.91 74.91 33.34
Atoms (fractional coordinates):
1 Mg 0.004 0.004 0.021
2 Mg 0.322 0.322 0.337
3 Tl 0.650 0.650 0.691
4 Tl 0.617 0.617 0.262
5 Tl 0.937 0.937 0.581
6 Tl 0.303 0.303 0.942

---

*iv*
Compound: MgTl2
Source: Alexandria via LeMat-Bulk
Functional: PBE
Structure: relaxed

Values from the calculation:
Its spin magnetization is 0.00 μB per cell.

a b c (Å): 5.176 5.176 3.353
angles (deg): 90.00 90.00 90.00
Atoms (fractional coordinates):
1 Tl 0.000 0.500 0.500
2 Tl 0.500 0.000 0.500
3 Mg 0.000 0.000 0.000

---

Which of them is the least stable? Correct choice: *iv*.